! PBE GaSe2NF, optimized geometry; values from VASP
&SYSTEM
  ibrav = 0, nat = 5, ntyp = 4
/
ATOMIC_SPECIES
Ga 69.72 Ga.upf
Se 78.96 Se.upf
N 14.01 N.upf
F 19.00 F.upf
CELL_PARAMETERS angstrom
4.2393 0.0000 0.0000
0.0000 4.2393 0.0000
0.0000 0.0000 4.4448
ATOMIC_POSITIONS crystal
Ga 0.0000 0.0000 0.0000
Se 0.0000 0.5000 0.5000
Se 0.5000 0.0000 0.5000
N 0.5000 0.5000 0.5000
F 0.5000 0.5000 0.0000
! formation energy (no corrections) = 371 meV/atom
! relative energy among the computed polymorphs = 0 meV per atom

=====

! PBE Li4Y3GeS8, optimized geometry; values from VASP
&SYSTEM
  ibrav = 0, nat = 16, ntyp = 4
/
ATOMIC_SPECIES
Li 6.94 Li.upf
Y 88.91 Y.upf
Ge 72.64 Ge.upf
S 32.06 S.upf
CELL_PARAMETERS angstrom
3.8623 2.2299 6.1484
-3.8623 2.2299 6.1484
0.0000 -4.4598 6.1484
ATOMIC_POSITIONS crystal
Li 0.0000 0.0000 0.0000
Li 0.0000 0.5000 0.5000
Li 0.5000 0.0000 0.5000
Li 0.5000 0.5000 0.0000
Y 0.0000 0.0000 0.5000
Y 0.0000 0.5000 0.0000
Y 0.5000 0.0000 0.0000
Ge 0.5000 0.5000 0.5000
S 0.2511 0.2511 0.2511
S 0.2586 0.2586 0.7370
S 0.2586 0.7370 0.2586
S 0.2630 0.7414 0.7414
S 0.7370 0.2586 0.2586
S 0.7414 0.2630 0.7414
S 0.7414 0.7414 0.2630
S 0.7489 0.7489 0.7489
! formation energy (no corrections) = -1520 meV/atom

=====

! PBE KSr2LiIr, optimized geometry; values from VASP
&SYSTEM
  ibrav = 0, nat = 5, ntyp = 4
/
ATOMIC_SPECIES
K 39.10 K.upf
Sr 87.62 Sr.upf
Li 6.94 Li.upf
Ir 192.22 Ir.upf
CELL_PARAMETERS angstrom
5.8065 0.0000 0.0000
0.0000 5.8065 0.0000
0.0000 0.0000 6.3273
ATOMIC_POSITIONS crystal
K 0.0000 0.0000 0.0000
Sr 0.0000 0.5000 0.5000
Sr 0.5000 0.0000 0.5000
Li 0.5000 0.5000 0.0000
Ir 0.0000 0.0000 0.5000
! DFT formation energy = 95 kJ/mol of formula units
! relative energy among the computed polymorphs = 126 meV per atom

=====

! PBE Li5CdPb, optimized geometry; values from VASP
&SYSTEM
  ibrav = 0, nat = 7, ntyp = 3
/
ATOMIC_SPECIES
Li 6.94 Li.upf
Cd 112.41 Cd.upf
Pb 207.20 Pb.upf
CELL_PARAMETERS angstrom
3.2191 -3.2238 0.0000
3.2191 3.2238 0.0000
0.0000 0.0000 7.0447
ATOMIC_POSITIONS crystal
Li 0.0000 0.0000 0.0000
Li 0.0000 0.5000 0.2544
Li 0.0000 0.5000 0.7456
Li 0.5000 0.0000 0.2544
Li 0.5000 0.0000 0.7456
Cd 0.0000 0.0000 0.5000
Pb 0.5000 0.5000 0.0000
! DFT formation energy = -107 kJ/mol of formula units
! relative energy among the computed polymorphs = 2 meV per atom

=====

! PBE In2PdRh2, optimized geometry; values from VASP
&SYSTEM
  ibrav = 0, nat = 10, ntyp = 3
/
ATOMIC_SPECIES
In 114.82 In.upf
Pd 106.42 Pd.upf
Rh 102.91 Rh.upf
CELL_PARAMETERS angstrom
7.4408 0.0000 0.0000
0.0000 7.4408 0.0000
0.0000 0.0000 3.1836
ATOMIC_POSITIONS crystal
In 0.1687 0.3313 0.0000
In 0.3313 0.8313 0.0000
In 0.6687 0.1687 0.0000
In 0.8313 0.6687 0.0000
Pd 0.0000 0.0000 0.5000
Pd 0.5000 0.5000 0.5000
Rh 0.1310 0.6310 0.5000
Rh 0.3690 0.1310 0.5000
Rh 0.6310 0.8690 0.5000
Rh 0.8690 0.3690 0.5000
! DFT formation energy = -120 kJ/mol of formula units
! relative energy among the computed polymorphs = 0 meV per atom

=====

! PBE Hf2CoSn, optimized geometry; values from VASP
&SYSTEM
  ibrav = 0, nat = 8, ntyp = 3
/
ATOMIC_SPECIES
Hf 178.49 Hf.upf
Co 58.93 Co.upf
Sn 118.71 Sn.upf
CELL_PARAMETERS angstrom
-2.0494 2.0494 9.8299
2.0494 -2.0494 9.8299
2.0494 2.0494 -9.8299
ATOMIC_POSITIONS crystal
Hf 0.1216 0.6250 0.9966
Hf 0.3750 0.3716 0.4966
Hf 0.6284 0.1250 0.0034
Hf 0.8750 0.8784 0.5034
Co 0.0000 0.0000 0.0000
Co 0.7500 0.2500 0.5000
Sn 0.2500 0.7500 0.5000
Sn 0.5000 0.5000 0.0000
! DFT formation energy = 173 kJ/mol of formula units

=====

! PBE LiFePt2, optimized geometry; values from VASP
&SYSTEM
  ibrav = 0, nat = 4, ntyp = 3
/
ATOMIC_SPECIES
Li 6.94 Li.upf
Fe 55.84 Fe.upf
Pt 195.08 Pt.upf
CELL_PARAMETERS angstrom
2.7645 0.0000 0.0000
0.0000 3.5508 0.0000
-0.0217 0.0000 5.6302
ATOMIC_POSITIONS crystal
Li 0.0000 0.0000 0.0000
Fe 0.0000 0.0000 0.5000
Pt 0.4994 0.5000 0.7535
Pt 0.5006 0.5000 0.2465
! DFT formation energy = -150 kJ/mol of formula units

=====

! PBE KSr, optimized geometry; values from VASP
&SYSTEM
  ibrav = 0, nat = 12, ntyp = 2
/
ATOMIC_SPECIES
K 39.10 K.upf
Sr 87.62 Sr.upf
CELL_PARAMETERS angstrom
14.8103 0.0000 0.0000
-7.4052 12.8261 0.0000
0.0000 0.0000 4.1650
ATOMIC_POSITIONS crystal
K 0.0611 0.7700 0.2500
K 0.2300 0.2911 0.2500
K 0.2911 0.0611 0.7500
K 0.7089 0.9389 0.2500
K 0.7700 0.7089 0.7500
K 0.9389 0.2300 0.7500
Sr 0.1474 0.5396 0.2500
Sr 0.3922 0.8526 0.2500
Sr 0.4604 0.6078 0.2500
Sr 0.5396 0.3922 0.7500
Sr 0.6078 0.1474 0.7500
Sr 0.8526 0.4604 0.7500
! DFT formation energy = 33 kJ/mol of formula units

=====

! PBE Y3C2F, optimized geometry; values from VASP
&SYSTEM
  ibrav = 0, nat = 12, ntyp = 3
/
ATOMIC_SPECIES
Y 88.91 Y.upf
C 12.01 C.upf
F 19.00 F.upf
CELL_PARAMETERS angstrom
1.8312 -6.1370 0.0000
1.8312 6.1370 0.0000
0.0000 0.0000 10.6877
ATOMIC_POSITIONS crystal
Y 0.0873 0.9127 0.7500
Y 0.3872 0.6128 0.5778
Y 0.3872 0.6128 0.9222
Y 0.6128 0.3872 0.0778
Y 0.6128 0.3872 0.4222
Y 0.9127 0.0873 0.2500
C 0.0000 0.0000 0.0000
C 0.0000 0.0000 0.5000
C 0.4791 0.5209 0.7500
C 0.5209 0.4791 0.2500
F 0.2664 0.7336 0.2500
F 0.7336 0.2664 0.7500
! formation energy (no corrections) = -717 meV/atom

=====

! PBE Nd8Co2Pd, optimized geometry; values from VASP
&SYSTEM
  ibrav = 0, nat = 11, ntyp = 3
/
ATOMIC_SPECIES
Nd 144.24 Nd.upf
Co 58.93 Co.upf
Pd 106.42 Pd.upf
CELL_PARAMETERS angstrom
4.1570 -6.2606 0.0000
4.1570 6.2606 0.0000
-1.9640 0.0000 6.1252
ATOMIC_POSITIONS crystal
Nd 0.0000 0.0000 0.0000
Nd 0.0215 0.2912 0.5899
Nd 0.1613 0.5857 0.2075
Nd 0.2912 0.0215 0.5899
Nd 0.4448 0.7207 0.8177
Nd 0.5857 0.1613 0.2075
Nd 0.7207 0.4448 0.8177
Nd 0.7286 0.7286 0.3987
Co 0.0532 0.6779 0.6930
Co 0.6779 0.0532 0.6930
Pd 0.3593 0.3593 0.0077
! DFT formation energy = -83 kJ/mol of formula units
! relative energy among the computed polymorphs = 55 meV per atom

=====

! PBE CaTcC2, optimized geometry; values from VASP
&SYSTEM
  ibrav = 0, nat = 8, ntyp = 3
/
ATOMIC_SPECIES
Ca 40.08 Ca.upf
Tc 98.00 Tc.upf
C 12.01 C.upf
CELL_PARAMETERS angstrom
-2.6125 2.6125 4.8043
2.6125 -2.6125 4.8043
2.6125 2.6125 -4.8043
ATOMIC_POSITIONS crystal
Ca 0.0000 0.0000 0.0000
Ca 0.7500 0.2500 0.5000
Tc 0.2500 0.7500 0.5000
Tc 0.5000 0.5000 0.0000
C 0.2306 0.6250 0.1056
C 0.3750 0.4806 0.6056
C 0.5194 0.1250 0.8944
C 0.8750 0.7694 0.3944
! DFT formation energy = 143 kJ/mol of formula units
! relative energy among the computed polymorphs = 0 meV per atom

=====

! PBE Cs2Se3Cl8, optimized geometry; values from VASP
&SYSTEM
  ibrav = 0, nat = 13, ntyp = 3
/
ATOMIC_SPECIES
Cs 132.91 Cs.upf
Se 78.96 Se.upf
Cl 35.45 Cl.upf
CELL_PARAMETERS angstrom
7.5725 -3.4023 0.0000
7.5725 3.4023 0.0000
-1.9995 0.0000 9.1326
ATOMIC_POSITIONS crystal
Cs 0.2352 0.2352 0.2375
Cs 0.7648 0.7648 0.7625
Se 0.3278 0.6722 0.5000
Se 0.5000 0.5000 0.0000
Se 0.6722 0.3278 0.5000
Cl 0.1196 0.1196 0.5162
Cl 0.1590 0.6485 0.0676
Cl 0.3515 0.8410 0.9324
Cl 0.3748 0.3748 0.6088
Cl 0.6252 0.6252 0.3912
Cl 0.6485 0.1590 0.0676
Cl 0.8410 0.3515 0.9324
Cl 0.8804 0.8804 0.4838
! formation energy (no corrections) = -654 meV/atom

=====

| no. | total energy (eV per atom) |
| --- | --- |
| 1 | -3.668 |
| 2 | -5.563 |
| 3 | -2.851 |
| 4 | -2.186 |
| 5 | -5.322 |
| 6 | -7.305 |
| 7 | -6.004 |
| 8 | -1.220 |
| 9 | -7.336 |
| 10 | -5.309 |
| 11 | -7.334 |
| 12 | -2.726 |